Here is a relaxed structure of Pm3Pr2Dy6Pu from Alexandria via LeMat-Bulk. Energies are from GGA-PBE.

Computed properties:
- Total energy: -130.419 eV per cell
- Energy relative to the elements: 45 meV per atom

a = 6.2231 Å, b = 10.7901 Å, c = 11.7922 Å
α = 90.00°, β = 100.17°, γ = 90.00°
Closest atoms and distances in Å follow each position.
Space group C2/m (No. 12)
Inequivalent atoms, fractional coordinates:
Pm1 0.0000 0.0000 0.0000 x2  6 Dy 3.57-3.60, 6 Pm 3.59-3.60
Pm2 0.0000 0.3330 0.0000 x4  6 Dy 3.57-3.60, 6 Pm 3.59-3.60
Pr1 0.0000 0.1666 0.5000 x4  6 Dy 3.56, 3 Pu 3.59-3.60, 3 Pr 3.59-3.60
Dy1 0.2461 0.5000 0.2514 x4  1 Pu 3.54, 6 Dy 3.54-3.62, 2 Pr 3.56, 3 Pm 3.57-3.60
Dy2 0.2468 0.3357 0.7485 x8  1 Pu 3.54, 6 Dy 3.54-3.62, 2 Pr 3.56, 3 Pm 3.57-3.60
Pu1 0.0000 0.5000 0.5000 x2  6 Dy 3.54, 6 Pr 3.59-3.60

***

Here is a relaxed structure of Pm2Pr3Dy6Pu from Alexandria via LeMat-Bulk. Energies are from GGA-PBE.

Computed properties:
- Total energy: -130.508 eV per cell
- Energy relative to the elements: 44 meV per atom

a = 6.2360 Å, b = 10.8103 Å, c = 11.7970 Å
α = 90.00°, β = 100.17°, γ = 90.00°
Closest atoms and distances in Å follow each position.
Space group C2/m (No. 12)
Inequivalent atoms, fractional coordinates:
Pm1 0.0000 0.1666 0.0000 x4  6 Dy 3.54, 3 Pu 3.60, 3 Pm 3.60
Pr1 0.0000 0.0000 0.5000 x2  6 Pr 3.60, 6 Dy 3.60-3.63
Pr2 0.0000 0.3330 0.5000 x4  6 Pr 3.60-3.61, 6 Dy 3.60-3.63
Dy1 0.2460 0.3357 0.2457 x8  1 Pu 3.51, 2 Pm 3.54, 6 Dy 3.55-3.63, 3 Pr 3.60-3.63
Dy2 0.2469 0.5000 0.7543 x4  1 Pu 3.51, 2 Pm 3.54, 6 Dy 3.55-3.63, 3 Pr 3.60-3.63
Pu1 0.0000 0.5000 0.0000 x2  6 Dy 3.51, 6 Pm 3.60

***

Here is a relaxed structure of PmPrDy4S8 from Alexandria via LeMat-Bulk. Energies are from GGA-PBE.

Computed properties:
- Total energy: -263.685 eV per cell
- ΔE_f (raw): -1.92 eV/atom

a = 8.1198 Å, b = 8.1198 Å, c = 20.0795 Å
α = 90.00°, β = 90.00°, γ = 120.00°
Closest atoms and distances in Å follow each position.
Space group R3m (No. 160, hexagonal axes)
Inequivalent atoms, fractional coordinates:
Pm1 0.0000 0.0000 0.0000 x3  6 S 2.83-2.86
Pr1 0.0000 0.0000 0.3747 x3  4 S 2.71-2.74
Dy1 0.0000 0.0000 0.6265 x3  4 S 2.61-2.65
Dy2 0.0021 0.5010 0.5012 x9  6 S 2.75-2.79
S1 0.0000 0.0000 0.2382 x3  1 Pr 2.74, 3 Dy 2.75
S2 0.0000 0.0000 0.7585 x3  4 Dy 2.65-2.79
S3 0.0258 0.5129 0.7572 x9  1 Pr 2.71, 2 Dy 2.75, 1 Pm 2.83
S4 0.1732 0.3463 0.5793 x9  3 Dy 2.61-2.78, 1 Pm 2.86

***

Here is a relaxed structure of Pm4Pr3DyS8 from Alexandria via LeMat-Bulk. Energies are from GGA-PBE.

Computed properties:
- Total energy: -309.616 eV per cell
- ΔE_f (raw): -2.02 eV/atom

a = 8.0983 Å, b = 8.0983 Å, c = 19.8024 Å
α = 90.00°, β = 90.00°, γ = 120.00°
Closest atoms and distances in Å follow each position.
Space group R-3m (No. 166, hexagonal axes)
Inequivalent atoms, fractional coordinates:
Pm1 0.0000 0.0000 0.0000 x3  6 S 2.92
Pm2 0.0000 0.5000 0.0000 x9  6 S 2.84
Pr1 0.0000 0.5000 0.5000 x9  6 S 2.89
Dy1 0.0000 0.0000 0.5000 x3  6 S 2.81
S1 0.0000 0.0000 0.2523 x6  3 Pm 2.84, 3 Pr 2.89
S2 0.0093 0.5047 0.2499 x18  1 Dy 2.81, 3 Pm 2.84-2.92, 2 Pr 2.89